1.
5
Lattice="-1.915 1.915 5.718 1.915 -1.915 5.718 1.915 1.915 -5.718" Properties=species:S:1:pos:R:3 comment="Al2CuP2 (SCAN, PBEsol geometry)" spacegroup="I4/mmm (139)" density_g_cm3=3.55 crystal_system=tetragonal n_ef_per_ev_atom=0.2361 formation_enthalpy_0k_ev_per_atom=0.211 pbc="T T T"
Al 1.915 0.000 2.859
Al 0.000 1.915 2.859
Cu 0.000 0.000 0.000
P 0.000 0.000 4.342
P 0.000 0.000 7.094


2.
10
Lattice="3.092 1.785 6.652 -3.092 1.785 6.652 0.000 -3.570 6.652" Properties=species:S:1:pos:R:3 comment="AlCuP2Se6 (SCAN, PBEsol geometry)" spacegroup="R3 (146)" formation_energy_uncorrected_kcal_per_mol_atoms=-7.95 density_g_cm3=4.72 crystal_system=trigonal pbc="T T T"
Al 0.000 0.000 0.000
Cu 0.000 0.000 6.756
P 0.000 0.000 12.226
P 0.000 0.000 14.435
Se -2.073 0.115 8.312
Se -1.108 -1.839 11.687
Se 0.937 -1.853 8.312
Se -1.039 1.879 11.687
Se 1.136 1.738 8.312
Se 2.147 -0.040 11.687


3.
4
Lattice="0.000 3.569 3.569 3.569 0.000 3.569 3.569 3.569 0.000" Properties=species:S:1:pos:R:3 comment="AlCuPb2 (SCAN, PBEsol geometry)" spacegroup="F-43m (216)" density_g_cm3=9.22 crystal_system=cubic n_ef_per_ev_atom=0.3241 formation_enthalpy_0k_ev_per_atom=0.460 pbc="T T T"
Al 0.000 0.000 0.000
Cu 5.353 5.353 5.353
Pb 1.784 1.784 1.784
Pb 3.569 3.569 3.569


4.
4
Lattice="2.096 1.210 6.184 -2.096 1.210 6.184 0.000 -2.421 6.184" Properties=species:S:1:pos:R:3 comment="AlCuPb2 (SCAN, PBEsol geometry)" spacegroup="R3m (160)" density_g_cm3=8.91 crystal_system=trigonal n_ef_per_ev_atom=0.2324 formation_enthalpy_0k_ev_per_atom=0.039 pbc="T T T"
Al 0.000 0.000 0.000
Cu 0.000 0.000 6.132
Pb 0.000 0.000 10.573
Pb 0.000 0.000 14.137


5.
8
Lattice="-3.406 3.406 2.616 3.406 -3.406 2.616 3.406 3.406 -2.616" Properties=species:S:1:pos:R:3 comment="Al2CuPd (SCAN, PBEsol geometry)" spacegroup="I-42d (122)" density_g_cm3=6.13 crystal_system=tetragonal n_ef_per_ev_atom=0.3523 formation_enthalpy_0k_ev_per_atom=-0.134 pbc="T T T"
Al 5.109 1.661 -0.654
Al 1.661 1.703 0.654
Al -1.703 1.745 1.962
Al 1.745 1.703 3.270
Cu 0.000 0.000 0.000
Cu 0.000 3.406 1.308
Pd 3.406 0.000 1.308
Pd 0.000 0.000 2.616


6.
5
Lattice="-1.606 1.606 6.831 1.606 -1.606 6.831 1.606 1.606 -6.831" Properties=species:S:1:pos:R:3 comment="AlCu2Pd2 (SCAN, PBEsol geometry)" spacegroup="I4/mmm (139)" density_g_cm3=8.64 crystal_system=tetragonal n_ef_per_ev_atom=0.2877 formation_enthalpy_0k_ev_per_atom=-0.252 pbc="T T T"
Al 0.000 0.000 0.000
Cu 1.606 0.000 3.416
Cu 0.000 1.606 3.416
Pd 0.000 0.000 5.479
Pd 0.000 0.000 8.184


7.
4
Lattice="3.945 0.000 0.000 0.000 3.945 0.000 0.000 0.000 3.442" Properties=species:S:1:pos:R:3 comment="AlCuPd2 (SCAN, PBEsol geometry)" spacegroup="P4/mmm (123)" density_g_cm3=9.41 crystal_system=tetragonal n_ef_per_ev_atom=0.1711 formation_enthalpy_0k_ev_per_atom=-0.690 pbc="T T T"
Al 0.000 0.000 0.000
Cu 1.972 1.972 0.000
Pd 0.000 1.972 1.721
Pd 1.972 0.000 1.721


8.
4
Lattice="0.000 2.999 2.999 2.999 0.000 2.999 2.999 2.999 0.000" Properties=species:S:1:pos:R:3 comment="Al2CuPd (SCAN, PBEsol geometry)" spacegroup="Fm-3m (225)" density_g_cm3=6.89 crystal_system=cubic n_ef_per_ev_atom=0.1711 formation_enthalpy_0k_ev_per_atom=-0.698 pbc="T T T"
Al 1.500 1.500 1.500
Al 4.499 4.499 4.499
Cu 0.000 0.000 0.000
Pd 2.999 2.999 2.999


9.
6
Lattice="5.218 0.000 0.000 -2.609 4.519 0.000 0.000 0.000 3.966" Properties=species:S:1:pos:R:3 comment="PrAlCu4 (SCAN, PBEsol geometry)" spacegroup="P-6m2 (187)" density_g_cm3=7.49 crystal_system=hexagonal n_ef_per_ev_atom=0.5435 formation_enthalpy_0k_ev_per_atom=-0.257 pbc="T T T"
Pr 0.000 0.000 0.000
Al 2.609 1.506 0.000
Cu -1.292 2.267 1.983
Cu 0.000 3.013 0.000
Cu 1.292 2.267 1.983
Cu 0.000 4.505 1.983


10.
5
Lattice="-2.105 2.105 5.286 2.105 -2.105 5.286 2.105 2.105 -5.286" Properties=species:S:1:pos:R:3 comment="PrAl3Cu (SCAN, PBEsol geometry)" spacegroup="I4mm (107)" density_g_cm3=5.06 crystal_system=tetragonal n_ef_per_ev_atom=0.2830 formation_enthalpy_0k_ev_per_atom=-0.542 pbc="T T T"
Pr 0.000 0.000 0.000
Al 2.105 0.000 2.663
Al 0.000 0.000 6.264
Al 0.000 2.105 2.663
Cu 0.000 0.000 3.892


11.
5
Lattice="4.695 0.000 0.000 0.000 4.695 0.000 0.000 0.000 4.695" Properties=species:S:1:pos:R:3 comment="Al3CuPt (SCAN, PBEsol geometry)" spacegroup="Pm-3m (221)" density_g_cm3=5.45 crystal_system=cubic n_ef_per_ev_atom=0.3912 formation_enthalpy_0k_ev_per_atom=-0.034 pbc="T T T"
Al 0.000 0.000 2.347
Al 0.000 2.347 0.000
Al 2.347 0.000 0.000
Cu 2.347 2.347 2.347
Pt 0.000 0.000 0.000


12.
4
Lattice="1.357 0.784 8.264 -1.357 0.784 8.264 0.000 -1.567 8.264" Properties=species:S:1:pos:R:3 comment="AlCu2Pt (SCAN, PBEsol geometry)" spacegroup="R-3m (166)" density_g_cm3=10.99 crystal_system=trigonal n_ef_per_ev_atom=0.3273 formation_enthalpy_0k_ev_per_atom=-0.203 pbc="T T T"
Al 0.000 0.000 0.000
Cu 0.000 0.000 6.272
Cu 0.000 0.000 18.520
Pt 0.000 0.000 12.396